No. 1
Pm4Te3C (PBE, relaxed); E_form (uncorrected) = -0.918 eV/atom; energy above the lowest structure with this stoichiometry = 197 meV per atom
1.0
6.1814 0.0000 0.0000
0.0000 9.3155 0.0000
0.0000 0.0000 9.4652
Te Pm C
6 8 2
Direct
0.0735 0.6537 0.2138
0.5735 0.3463 0.7138
0.5735 0.3463 0.2862
0.0735 0.6537 0.7862
0.5666 0.8641 0.0000
0.0666 0.1359 0.5000
0.0620 0.9332 0.0000
0.0701 0.3111 0.2143
0.5620 0.0668 0.5000
0.1020 0.8130 0.5000
0.5701 0.6889 0.2857
0.0701 0.3111 0.7857
0.6020 0.1870 0.0000
0.5701 0.6889 0.7143
0.9974 0.1879 0.0000
0.4974 0.8121 0.5000


No. 2
Pm4Te3C (PBE, relaxed); E_form (uncorrected) = -1.115 eV/atom; energy above the lowest structure with this stoichiometry = 0 meV per atom
1.0
7.2482 0.0285 0.0000
-2.5079 7.2105 0.0000
0.0000 0.0000 8.7333
Te Pm C
6 8 2
Direct
0.2500 0.0000 0.6172
0.2500 0.5000 0.8807
0.2500 0.5000 0.3770
0.7500 0.5000 0.1193
0.7500 0.5000 0.6230
0.7500 0.0000 0.3828
0.5021 0.8016 0.1014
0.9979 0.1984 0.1014
0.5408 0.7841 0.6754
0.0021 0.8016 0.8986
0.0408 0.7841 0.3246
0.4592 0.2159 0.3246
0.9592 0.2159 0.6754
0.4979 0.1984 0.8986
0.7500 0.0000 0.8784
0.2500 0.0000 0.1216